# NaNi2AsP | the Alexandria database | GGA-PBE | optimized geometry
# Energy of formation from the pure elements, eV/atom: -0.3624
# Mass density, g/cm³: 4.470
data_NaNi2AsP
_chemical_formula_sum 'Na2 Ni4 As2 P2'
_symmetry_space_group_name_H-M 'P 1'
_symmetry_Int_Tables_number 1
_symmetry_space_group_name_Hall 'P 1'
_cell_length_a 6.2733
_cell_length_b 3.9044
_cell_length_c 7.9177
_cell_angle_alpha 90.00
_cell_angle_beta 109.35
_cell_angle_gamma 90.00
loop_
_atom_site_label
_atom_site_fract_x
_atom_site_fract_y
_atom_site_fract_z
Na1 0.0723 0.2500 0.2429
Na2 0.9277 0.7500 0.7571
Ni1 0.4913 0.7500 0.8780
Ni2 0.4962 0.7500 0.3735
Ni3 0.5038 0.2500 0.6265
Ni4 0.5087 0.2500 0.1220
As1 0.2830 0.7500 0.5687
As2 0.7170 0.2500 0.4313
P1 0.3262 0.7500 0.0835
P2 0.6738 0.2500 0.9165